Record 1
Computed, not measured: Cs4NpPa3S12 after structural relaxation at the GGA-PBE level of DFT.

a b c (Å): 9.1636 9.1636 9.1636
angles (deg): 109.47 109.47 109.47
With the nearest neighbours (Å) after each atom.
Positions (direct):
Cs (0.5000, 0.5000, 0.5000)  12 S 3.74
Cs (0.0000, 0.0000, 0.5000)  12 S 3.74
Cs (0.5000, 0.0000, 0.0000)  12 S 3.74
Cs (0.0000, 0.5000, 0.0000)  12 S 3.74
Np (0.0000, 0.0000, 0.0000)  6 S 2.63
Pa (0.5000, 0.0000, 0.5000)  6 S 2.65-2.66
Pa (0.5000, 0.5000, 0.0000)  6 S 2.65-2.66
Pa (0.0000, 0.5000, 0.5000)  6 S 2.65-2.66
S (0.2500, 0.5000, 0.7500)  2 Pa 2.65
S (0.7511, 0.0000, 0.7511)  1 Np 2.63, 1 Pa 2.66
S (0.2489, 0.0000, 0.2489)  1 Np 2.63, 1 Pa 2.66
S (0.7500, 0.5000, 0.2500)  2 Pa 2.65
S (0.7511, 0.7511, 0.0000)  1 Np 2.63, 1 Pa 2.66
S (0.2489, 0.2489, 0.0000)  1 Np 2.63, 1 Pa 2.66
S (0.7500, 0.2500, 0.5000)  2 Pa 2.65
S (0.2500, 0.7500, 0.5000)  2 Pa 2.65
S (0.5000, 0.2500, 0.7500)  2 Pa 2.65
S (0.0000, 0.7511, 0.7511)  1 Np 2.63, 1 Pa 2.66
S (0.5000, 0.7500, 0.2500)  2 Pa 2.65
S (0.0000, 0.2489, 0.2489)  1 Np 2.63, 1 Pa 2.66

Electronic total energy, eV per atom: -6.208
Crystal system: cubic
E_form (uncorrected), eV/atom: -1.489

***

Record 2
Computed, not measured: TaCr2Si2 after structural relaxation at the GGA-PBE level of DFT.

a b c (Å): 6.7744 6.7744 2.9261
angles (deg): 90.00 90.00 90.00
With the nearest neighbours (Å) after each atom.
Positions (direct):
Cr (0.1554, 0.6554, 0.5000)  6 Si 2.45-2.49
Cr (0.6554, 0.8446, 0.5000)  6 Si 2.45-2.49
Cr (0.8446, 0.3446, 0.5000)  6 Si 2.45-2.49
Cr (0.3446, 0.1554, 0.5000)  6 Si 2.45-2.49
Si (0.3654, 0.8654, 0.0000)  6 Cr 2.45-2.49, 1 Si 2.58, 2 Ta 2.64
Si (0.8654, 0.6346, 0.0000)  6 Cr 2.45-2.49, 1 Si 2.58, 2 Ta 2.64
Si (0.6346, 0.1346, 0.0000)  6 Cr 2.45-2.49, 1 Si 2.58, 2 Ta 2.64
Si (0.1346, 0.3654, 0.0000)  6 Cr 2.45-2.49, 1 Si 2.58, 2 Ta 2.64
Ta (0.0000, 0.0000, 0.0000)  4 Si 2.64, 2 Ta 2.93, 8 Cr 2.95
Ta (0.5000, 0.5000, 0.0000)  4 Si 2.64, 2 Ta 2.93, 8 Cr 2.95

Electronic total energy, eV per atom: -8.622
Crystal system: tetragonal
E_form (uncorrected), eV/atom: -0.233

***

Record 3
Computed, not measured: ThGa3Pt3 after structural relaxation at the GGA-PBE level of DFT.

a b c (Å): 6.8906 6.8906 7.6126
angles (deg): 63.09 63.09 60.00
With the nearest neighbours (Å) after each atom.
Positions (direct):
Th (0.3391, 0.3391, 0.9826)  6 Pt 2.94-3.12, 6 Ga 3.23-3.24
Th (0.6609, 0.6609, 0.0174)  6 Pt 2.94-3.12, 6 Ga 3.23-3.24
Ga (0.5402, 0.7369, 0.6221)  4 Pt 2.58-2.65, 2 Ga 2.75
Ga (0.7369, 0.1007, 0.6221)  4 Pt 2.58-2.65, 2 Ga 2.75
Ga (0.1007, 0.5402, 0.6221)  4 Pt 2.58-2.65, 2 Ga 2.75
Ga (0.8993, 0.4598, 0.3779)  4 Pt 2.58-2.65, 2 Ga 2.75
Ga (0.2631, 0.8993, 0.3779)  4 Pt 2.58-2.65, 2 Ga 2.75
Ga (0.4598, 0.2631, 0.3779)  4 Pt 2.58-2.65, 2 Ga 2.75
Pt (0.1740, 0.6854, 0.2246)  4 Ga 2.58-2.65
Pt (0.9160, 0.1740, 0.2246)  4 Ga 2.58-2.65
Pt (0.6854, 0.9160, 0.2246)  4 Ga 2.58-2.65
Pt (0.3146, 0.0840, 0.7754)  4 Ga 2.58-2.65
Pt (0.0840, 0.8260, 0.7754)  4 Ga 2.58-2.65
Pt (0.8260, 0.3146, 0.7754)  4 Ga 2.58-2.65

Energy above the most stable polymorph in this dataset, meV/atom: 0
Electronic total energy, eV per atom: -5.686
Crystal system: trigonal
Formation enthalpy at 0 K, meV per atom: -740

***

Record 4
Computed, not measured: SrSbW2 after structural relaxation at the GGA-PBE level of DFT.

a b c (Å): 5.3825 2.9659 5.4245
angles (deg): 89.06 90.00 90.00
With the nearest neighbours (Å) after each atom.
Positions (direct):
Sb (0.5000, 0.2500, 0.2500)  2 Sb 2.97, 4 W 3.04, 4 Sr 3.07-3.11
Sr (0.5000, 0.7500, 0.7500)  2 Sr 2.97, 4 Sb 3.07-3.11, 4 W 3.26
W (0.0000, 0.1732, 0.9937)  4 W 2.68-2.97
W (0.0000, 0.3268, 0.5063)  4 W 2.68-2.97

Electronic total energy, eV per atom: -7.015
Crystal system: monoclinic
E_form (uncorrected), eV/atom: 0.912